(1)
## Zr2TaAu (SCAN)

Data for a PBEsol-optimized structure of Zr2TaAu.

Cell lengths 4.7042, 4.7042, 3.4550 Å; angles 90.00, 90.00, 90.00 degrees
Closest atoms and distances in Å follow each position.
Space group P4/mmm (No. 123)
Asymmetric unit:
Zr 0.0000 0.5000 0.0000  4 Au 2.92, 4 Ta 2.92
Ta 0.0000 0.0000 0.5000  8 Zr 2.92
Au 0.5000 0.5000 0.5000  8 Zr 2.92

The spin magnetization comes out at 0.0000 μB/atom. For the volume, the calculation gives 19.1 Å³/atom. The calculation puts the formation enthalpy at 0 K at -0.301 eV per atom. The value obtained for the density of states at the Fermi level is 3.574 states/eV per cell. Its calculated total energy is -198.3 eV/cell.

(2)
## LiNiBr (SCAN)

Data for a PBEsol-optimized structure of LiNiBr.

Cell lengths 4.7146, 4.7547, 7.6210 Å; angles 90.00, 90.00, 90.00 degrees
Closest atoms and distances in Å follow each position.
Space group Fmm2 (No. 42)
Asymmetric unit:
Li 0.0000 0.0000 0.0000  5 Ni 2.60-2.70, 5 Br 2.61-2.66
Ni 0.0000 0.0000 0.3546  1 Br 2.31
Br 0.0000 0.0000 0.6580  1 Ni 2.31

The spin magnetization comes out at 0.0001 μB/atom. For the volume, the calculation gives 14.2 Å³/atom. As for the uncorrected formation energy: -13 meV per atom. The value obtained for the density of states at the Fermi level is 6.081 states/eV per cell. Its calculated total energy is -152.3 eV/cell.

(3)
## LiZrI2 (SCAN)

Data for a PBEsol-optimized structure of LiZrI2.

Cell lengths 7.4791, 7.4791, 8.1273 Å; angles 90.00, 90.00, 90.00 degrees
Closest atoms and distances in Å follow each position.
Space group I-42d (No. 122)
Asymmetric unit:
Li 0.0000 0.0000 0.0000  4 I 2.74
Zr 0.0000 0.0000 0.5000  4 I 2.93
I 0.2315 0.7500 0.1250  2 Li 2.74, 2 Zr 2.93

The spin magnetization comes out at 0.7511 μB/atom. For the volume, the calculation gives 28.4 Å³/atom. As for the uncorrected formation energy: -320 meV per atom. The value obtained for the density of states at the Fermi level is 4.833 states/eV per cell. Its calculated total energy is -431.4 eV/cell.

(4)
## KLa4Hg (SCAN)

Data for a PBEsol-optimized structure of KLa4Hg.

Cell lengths 9.3417, 9.3417, 9.3417 Å; angles 90.00, 90.00, 90.00 degrees
Closest atoms and distances in Å follow each position.
Space group F-43m (No. 216)
Asymmetric unit:
K 0.0000 0.0000 0.0000  12 La 3.89, 4 Hg 4.05
La 0.1192 0.1192 0.3808  6 La 3.15-3.46
Hg 0.2500 0.2500 0.7500  12 La 3.86, 4 K 4.05

The spin magnetization comes out at 0.0000 μB/atom. For the volume, the calculation gives 34.0 Å³/atom. The calculation puts the formation enthalpy at 0 K at 0.297 eV per atom. The value obtained for the density of states at the Fermi level is 19.758 states/eV per cell. Its calculated total energy is -988.5 eV/cell.

(5)
## ZrCoBr (SCAN)

Data for a PBEsol-optimized structure of ZrCoBr.

Cell lengths 3.4208, 3.4208, 5.6922 Å; angles 90.00, 90.00, 120.00 degrees
Closest atoms and distances in Å follow each position.
Space group P3m1 (No. 156)
Asymmetric unit:
Zr 0.0000 0.0000 0.0000  3 Co 2.45
Co 0.6667 0.3333 0.2538  3 Zr 2.45
Br 0.3333 0.6667 0.6296  3 Zr 2.89, 3 Co 2.91

The spin magnetization comes out at 0.0000 μB/atom. For the volume, the calculation gives 19.2 Å³/atom. As for the uncorrected formation energy: -189 meV per atom. The value obtained for the density of states at the Fermi level is 0.333 states/eV per cell. Its calculated total energy is -68.0 eV/cell.

(6)
## ScMo2Os (SCAN)

Data for a PBEsol-optimized structure of ScMo2Os.

Cell lengths 3.1251, 4.5209, 8.8536 Å; angles 90.00, 90.00, 90.00 degrees
Closest atoms and distances in Å follow each position.
Space group Imm2 (No. 44)
Asymmetric unit:
Sc 0.0000 0.0000 0.0000  6 Mo 2.75-2.80, 2 Os 2.78
Mo 0.0000 0.0000 0.4978  2 Mo 2.61, 2 Os 2.66, 4 Sc 2.75
Mo 0.0000 0.5000 0.7623  2 Mo 2.61, 4 Os 2.75, 2 Sc 2.80
Os 0.0000 0.5000 0.2409  6 Mo 2.66-2.75, 2 Sc 2.78

The spin magnetization comes out at 0.0000 μB/atom. For the volume, the calculation gives 15.6 Å³/atom. The calculation puts the formation enthalpy at 0 K at -0.063 eV per atom. The value obtained for the density of states at the Fermi level is 5.016 states/eV per cell. Its calculated total energy is -312.3 eV/cell.

(7)
## KAgBr2 (SCAN)

Data for a PBEsol-optimized structure of KAgBr2.

Cell lengths 4.2596, 4.2596, 6.3522 Å; angles 90.00, 90.00, 90.00 degrees
Closest atoms and distances in Å follow each position.
Space group P4mm (No. 99)
Asymmetric unit:
K 0.0000 0.0000 0.0000  6 Br 3.03-3.22
Ag 0.5000 0.5000 0.4659  1 Br 2.68
Br 0.0000 0.0000 0.5077  4 Ag 3.02, 2 K 3.13-3.22
Br 0.5000 0.5000 0.0446  1 Ag 2.68

The spin magnetization comes out at 0.0000 μB/atom. For the volume, the calculation gives 28.8 Å³/atom. As for the uncorrected formation energy: -1077 meV per atom. The value obtained for the density of states at the Fermi level is 0.000 states/eV per cell. Its calculated total energy is -82.9 eV/cell.

(8)
## KRhIN2 (SCAN)

Data for a PBEsol-optimized structure of KRhIN2.

Cell lengths 4.0534, 4.0534, 5.6527 Å; angles 90.00, 90.00, 90.00 degrees
Closest atoms and distances in Å follow each position.
Space group P4/mmm (No. 123)
Asymmetric unit:
K 0.0000 0.0000 0.0000  4 I 2.87
Rh 0.5000 0.5000 0.5000  4 N 2.03
I 0.5000 0.5000 0.0000  2 Rh 2.83, 4 K 2.87
N 0.0000 0.5000 0.5000  2 Rh 2.03

The spin magnetization comes out at 0.7173 μB/atom. For the volume, the calculation gives 18.6 Å³/atom. As for the uncorrected formation energy: 697 meV per atom. The value obtained for the density of states at the Fermi level is 2.162 states/eV per cell. Its calculated total energy is -93.9 eV/cell.